VASP calculation (PBE) on a geometry-optimized Np3ScTl3S8 structure.

```
Np3ScTl3S8
1.0
6.902 -3.980 0.000
6.902 3.980 0.000
-4.590 0.000 7.545
Np Sc Tl S
3 1 3 8
direct
0.000 0.000 0.000
0.000 0.500 0.000
0.500 0.000 0.000
0.500 0.500 0.000
0.000 0.500 0.500
0.500 0.000 0.500
0.500 0.500 0.500
0.234 0.234 0.197
0.242 0.724 0.189
0.276 0.276 0.812
0.276 0.758 0.811
0.724 0.242 0.189
0.724 0.724 0.188
0.758 0.276 0.811
0.766 0.766 0.803
```

As for the uncorrected formation energy: -1.157 eV per atom. The value obtained for the total energy is -6.84 eV/atom. The total magnetization comes out at 3.6 μB/f.u. The value obtained for the density of states at the Fermi level is 24.84 states/eV/f.u. As for the crystal system: monoclinic.